First-principles (GGA-PBE) data for a geometry-optimized BaH2RuAu structure, as listed in Alexandria.

Values from the calculation:
SG: P4/mmm, No. 123
Raw total energy: -0.1152 hartree per atom

Cell lengths 4.2097, 6.1084, 4.2097 Å; angles 90.00, 90.00, 90.00 degrees
Fractional coordinates of all 5 atoms:
Ba1 0.0000 0.0000 0.0000
H1 0.0000 0.0000 0.5000
Au1 0.5000 0.5000 0.5000
Ru1 0.0000 0.5000 0.0000
H2 0.5000 0.0000 0.0000